AlP: relaxed, PBE.

Calculated values
E_form, eV/atom: -0.266

Lattice parameters (Å, degrees): 6.2380 6.2380 6.3426 66.60 66.60 33.75
Closest atoms and distances in Å follow each position.
Atoms (fractional coordinates):
Al 0.9738 0.9738 0.0535  4 P 2.35-2.39
Al 0.7976 0.7976 0.7394  3 P 2.38-2.44
Al 0.5416 0.5416 0.5990  5 P 2.39-2.64
P 0.3653 0.3653 0.9782  3 Al 2.39-2.45
P 0.9898 0.9898 0.4097  4 Al 2.35-2.39
P 0.1652 0.1652 0.7201  5 Al 2.38-2.64